Entry 1:
ErPuCoRh after structural relaxation. Source: Alexandria via LeMat-Bulk, functional GGA-PBE.

Structure (POSCAR):
```
ErPuCoRh
1.0
-2.168 4.111 -1.049
-4.557 0.668 1.218
-1.112 3.061 3.477
Co Er Rh Pu
1 1 1 1
Direct
0.000 0.000 0.000 Co
0.250 0.250 0.250 Er
0.500 0.500 0.500 Rh
0.750 0.750 0.750 Pu
```

Properties
* E: -8.676 eV/atom
* energy of formation from the pure elements: -0.338 eV per atom
* crystal system: cubic

Entry 2:
SrGe2Sb after structural relaxation. Source: Alexandria via LeMat-Bulk, functional GGA-PBE.

Structure (POSCAR):
```
SrGe2Sb
1.0
8.268 0.000 0.000
0.000 8.268 0.000
4.134 4.134 3.287
Sb Ge Sr
2 4 2
Direct
0.000 0.000 0.000 Sb
0.750 0.250 0.500 Sb
0.667 0.125 0.250 Ge
0.083 0.625 0.250 Ge
0.375 0.333 0.750 Ge
0.875 0.917 0.750 Ge
0.500 0.500 0.000 Sr
0.250 0.750 0.500 Sr
```

Properties
* E: -3.902 eV/atom
* formation energy from raw total energies: -0.142 eV/atom
* crystal system: tetragonal

Entry 3:
CaZn2In after structural relaxation. Source: Alexandria via LeMat-Bulk, functional GGA-PBE.

Structure (POSCAR):
```
CaZn2In
1.0
-1.414 0.087 -4.537
4.420 -1.050 -1.398
-0.534 -9.667 -2.509
Zn Ca In
4 2 2
Direct
0.761 0.125 0.250 Zn
0.989 0.625 0.250 Zn
0.375 0.239 0.750 Zn
0.875 0.011 0.750 Zn
0.500 0.500 0.000 Ca
0.250 0.750 0.500 Ca
0.000 0.000 0.000 In
0.750 0.250 0.500 In
```

Properties
* E: -1.822 eV/atom
* energy of formation from the pure elements: 0.000 eV per atom
* crystal system: tetragonal

Entry 4:
Sc3InHg3 after structural relaxation. Source: Alexandria via LeMat-Bulk, functional GGA-PBE.

Structure (POSCAR):
```
Sc3InHg3
1.0
6.997 -0.059 -0.001
-0.043 6.997 -0.001
0.001 0.001 6.724
Sc In Hg
6 2 6
Direct
0.000 0.000 0.755 Sc
0.500 0.000 0.250 Sc
0.000 0.500 0.250 Sc
0.500 0.000 0.750 Sc
0.000 0.500 0.750 Sc
0.000 0.000 0.245 Sc
0.293 0.294 0.000 In
0.707 0.706 0.000 In
0.266 0.266 0.500 Hg
0.262 0.738 0.500 Hg
0.738 0.262 0.500 Hg
0.264 0.736 0.000 Hg
0.736 0.264 0.000 Hg
0.734 0.734 0.500 Hg
```

Properties
* E: -3.536 eV/atom
* energy of formation from the pure elements: -0.302 eV per atom
* crystal system: orthorhombic

Entry 5:
Dy2ThPb3 after structural relaxation. Source: Alexandria via LeMat-Bulk, functional GGA-PBE.

Structure (POSCAR):
```
Dy2ThPb3
1.0
-2.307 5.947 -0.584
-5.040 -2.290 -3.416
-1.296 -1.338 9.003
Dy Th Pb
4 2 6
Direct
0.579 0.542 0.332 Dy
0.079 0.790 0.332 Dy
0.921 0.210 0.668 Dy
0.421 0.458 0.668 Dy
0.750 0.116 0.000 Th
0.250 0.884 0.000 Th
0.250 0.383 0.000 Pb
0.750 0.617 0.000 Pb
0.086 0.295 0.342 Pb
0.414 0.953 0.658 Pb
0.586 0.047 0.342 Pb
0.914 0.705 0.658 Pb
```

Properties
* E: -5.028 eV/atom
* energy of formation from the pure elements: -0.403 eV per atom
* crystal system: monoclinic

Entry 6:
Li4BeFe after structural relaxation. Source: Alexandria via LeMat-Bulk, functional GGA-PBE.

Structure (POSCAR):
```
Li4BeFe
1.0
0.000 3.403 3.403
3.403 0.000 3.403
3.403 3.403 0.000
Li Be Fe
4 1 1
Direct
0.625 0.625 0.125 Li
0.625 0.125 0.625 Li
0.625 0.625 0.625 Li
0.125 0.625 0.625 Li
0.250 0.250 0.250 Be
0.000 0.000 0.000 Fe
```

Properties
* E: -2.808 eV/atom
* energy of formation from the pure elements: 0.499 eV per atom
* crystal system: cubic